1.
# HoSc6In | Alexandria via LeMat-Bulk | PBE | relaxed
data_HoSc6In
_chemical_formula_sum 'Ho1 Sc6 In1'
_space_group_name_H-M_alt 'P 1'
_space_group_IT_number 1
_cell_length_a 4.588
_cell_length_b 4.588
_cell_length_c 9.362
_cell_angle_alpha 90.00
_cell_angle_beta 90.00
_cell_angle_gamma 90.00
loop_
_space_group_symop_operation_xyz
'x,y,z'
loop_
_atom_site_label
_atom_site_type_symbol
_atom_site_fract_x
_atom_site_fract_y
_atom_site_fract_z
Ho1 Ho 0.000 0.000 0.000
Sc1 Sc 0.000 0.500 0.258
Sc2 Sc 0.000 0.500 0.742
Sc3 Sc 0.500 0.000 0.258
Sc4 Sc 0.500 0.000 0.742
Sc5 Sc 0.500 0.500 0.000
Sc6 Sc 0.500 0.500 0.500
In1 In 0.000 0.000 0.500
# - relative energy among the computed polymorphs (kcal/mol of atoms) = 0.00
# - magnetic moment (μB/f.u.) = 0.51
# - energy of formation (meV/atom) = -97
# - mass density (g/cm3) = 4.63
# - symmetry = P4/mmm, No. 123

2.
# Sm12Co6Au | Alexandria via LeMat-Bulk | PBE | relaxed
data_Sm12Co6Au
_chemical_formula_sum 'Sm12 Co6 Au1'
_space_group_name_H-M_alt 'P 1'
_space_group_IT_number 1
_cell_length_a 8.493
_cell_length_b 8.493
_cell_length_c 8.493
_cell_angle_alpha 109.47
_cell_angle_beta 109.47
_cell_angle_gamma 109.47
loop_
_space_group_symop_operation_xyz
'x,y,z'
loop_
_atom_site_label
_atom_site_type_symbol
_atom_site_fract_x
_atom_site_fract_y
_atom_site_fract_z
Sm1 Sm 0.109 0.807 0.303
Sm2 Sm 0.193 0.303 0.496
Sm3 Sm 0.193 0.697 0.891
Sm4 Sm 0.303 0.109 0.807
Sm5 Sm 0.303 0.496 0.193
Sm6 Sm 0.496 0.193 0.303
Sm7 Sm 0.504 0.807 0.697
Sm8 Sm 0.697 0.504 0.807
Sm9 Sm 0.697 0.891 0.193
Sm10 Sm 0.807 0.303 0.109
Sm11 Sm 0.807 0.697 0.504
Sm12 Sm 0.891 0.193 0.697
Co1 Co 0.113 0.613 0.500
Co2 Co 0.387 0.500 0.887
Co3 Co 0.500 0.113 0.613
Co4 Co 0.500 0.887 0.387
Co5 Co 0.613 0.500 0.113
Co6 Co 0.887 0.387 0.500
Au1 Au 0.000 0.000 0.000
# - magnetic moment (μB/f.u.) = 0.00
# - energy of formation (meV/atom) = -187
# - mass density (g/cm3) = 8.29
# - symmetry = Im-3, No. 204

3.
# MnZn2Cr | Alexandria via LeMat-Bulk | PBE | relaxed
data_MnZn2Cr
_chemical_formula_sum 'Mn1 Zn2 Cr1'
_space_group_name_H-M_alt 'P 1'
_space_group_IT_number 1
_cell_length_a 2.565
_cell_length_b 4.005
_cell_length_c 5.142
_cell_angle_alpha 90.00
_cell_angle_beta 90.00
_cell_angle_gamma 90.00
loop_
_space_group_symop_operation_xyz
'x,y,z'
loop_
_atom_site_label
_atom_site_type_symbol
_atom_site_fract_x
_atom_site_fract_y
_atom_site_fract_z
Mn1 Mn 0.000 0.000 0.000
Zn1 Zn 0.500 0.500 0.251
Zn2 Zn 0.500 0.500 0.749
Cr1 Cr 0.000 0.000 0.500
# - relative energy among the computed polymorphs (kcal/mol of atoms) = 2.49
# - magnetic moment (μB/f.u.) = 1.61
# - energy of formation (meV/atom) = 171
# - mass density (g/cm3) = 7.47
# - symmetry = Pmmm, No. 47

4.
# CrMo2Br | Alexandria via LeMat-Bulk | PBE | relaxed
data_CrMo2Br
_chemical_formula_sum 'Cr4 Mo8 Br4'
_space_group_name_H-M_alt 'P 1'
_space_group_IT_number 1
_cell_length_a 4.979
_cell_length_b 4.979
_cell_length_c 13.332
_cell_angle_alpha 90.00
_cell_angle_beta 90.00
_cell_angle_gamma 90.00
loop_
_space_group_symop_operation_xyz
'x,y,z'
loop_
_atom_site_label
_atom_site_type_symbol
_atom_site_fract_x
_atom_site_fract_y
_atom_site_fract_z
Cr1 Cr 0.000 0.000 0.000
Cr2 Cr 0.000 0.500 0.250
Cr3 Cr 0.500 0.000 0.750
Cr4 Cr 0.500 0.500 0.500
Mo1 Mo 0.198 0.250 0.125
Mo2 Mo 0.250 0.698 0.375
Mo3 Mo 0.250 0.802 0.875
Mo4 Mo 0.302 0.250 0.625
Mo5 Mo 0.698 0.750 0.625
Mo6 Mo 0.750 0.198 0.875
Mo7 Mo 0.750 0.302 0.375
Mo8 Mo 0.802 0.750 0.125
Br1 Br 0.000 0.000 0.500
Br2 Br 0.000 0.500 0.750
Br3 Br 0.500 0.000 0.250
Br4 Br 0.500 0.500 0.000
# - relative energy among the computed polymorphs (kcal/mol of atoms) = 20.20
# - magnetic moment (μB/f.u.) = 0.00
# - mass density (g/cm3) = 6.51
# - formation energy (no corrections) (eV/atom) = 1.368
# - symmetry = I-42d, No. 122